The following is a DFT calculation (PBE) of crystalline SmGe3Pt3 at its relaxed geometry.

* DOS at the Fermi energy: 8.04 states/eV/cell
* offset from the most stable computed form: 0.128 eV/atom
* V: 22.63 Å³ per atom
* DFT formation energy: -0.42 eV/atom

Geometry as CIF:
```
data_SmGe3Pt3
_symmetry_space_group_name_H-M 'P 1'
_symmetry_Int_Tables_number 1
_symmetry_space_group_name_Hall 'P 1'
_cell_length_a 6.817
_cell_length_b 6.817
_cell_length_c 6.817
_cell_angle_alpha 90.00
_cell_angle_beta 90.00
_cell_angle_gamma 90.00
loop_
_atom_site_label
_atom_site_fract_x
_atom_site_fract_y
_atom_site_fract_z
_atom_site_occupancy
Pt1 0.500 0.250 0.000 1
Pt2 0.500 0.750 0.000 1
Pt3 0.750 0.000 0.500 1
Pt4 0.000 0.500 0.750 1
Pt5 0.250 0.000 0.500 1
Pt6 0.000 0.500 0.250 1
Ge1 0.000 0.750 0.500 1
Ge2 0.000 0.250 0.500 1
Ge3 0.500 0.000 0.750 1
Ge4 0.500 0.000 0.250 1
Ge5 0.250 0.500 0.000 1
Ge6 0.750 0.500 0.000 1
Sm1 0.500 0.500 0.500 1
Sm2 0.000 0.000 0.000 1
```

The following is a DFT calculation (PBE) of crystalline KNpZn2Cl8 at its relaxed geometry.

* uncorrected formation energy: -1.441 eV/atom
* DOS at the Fermi energy: 5.09 states/eV/cell
* V: 29.98 Å³ per atom

Geometry as CIF:
```
data_KNpZn2Cl8
_symmetry_space_group_name_H-M 'P 1'
_symmetry_Int_Tables_number 1
_symmetry_space_group_name_Hall 'P 1'
_cell_length_a 6.483
_cell_length_b 6.483
_cell_length_c 10.567
_cell_angle_alpha 72.14
_cell_angle_beta 72.14
_cell_angle_gamma 60.00
loop_
_atom_site_label
_atom_site_fract_x
_atom_site_fract_y
_atom_site_fract_z
_atom_site_occupancy
K1 0.500 0.500 0.500 1
Cl1 0.283 0.940 0.169 1
Cl2 0.940 0.608 0.169 1
Cl3 0.174 0.174 0.479 1
Cl4 0.060 0.392 0.831 1
Cl5 0.826 0.826 0.521 1
Cl6 0.608 0.283 0.169 1
Cl7 0.717 0.060 0.831 1
Cl8 0.392 0.717 0.831 1
Zn1 0.752 0.752 0.744 1
Zn2 0.248 0.248 0.256 1
Np1 0.000 0.000 0.000 1
```

The following is a DFT calculation (PBE) of crystalline Pm4Zn2In at its relaxed geometry.

* DOS at the Fermi energy: 8.30 states/eV/cell
* offset from the most stable computed form: 0.115 eV/atom
* V: 29.71 Å³ per atom
* DFT formation energy: -0.12 eV/atom

Geometry as CIF:
```
data_Pm4Zn2In
_symmetry_space_group_name_H-M 'P 1'
_symmetry_Int_Tables_number 1
_symmetry_space_group_name_Hall 'P 1'
_cell_length_a 5.153
_cell_length_b 5.153
_cell_length_c 9.521
_cell_angle_alpha 74.30
_cell_angle_beta 74.30
_cell_angle_gamma 60.00
loop_
_atom_site_label
_atom_site_fract_x
_atom_site_fract_y
_atom_site_fract_z
_atom_site_occupancy
Pm1 0.207 0.207 0.378 1
Pm2 0.380 0.380 0.859 1
Pm3 0.793 0.793 0.622 1
Pm4 0.620 0.620 0.141 1
Zn1 0.098 0.098 0.705 1
Zn2 0.902 0.902 0.295 1
In1 0.000 0.000 0.000 1
```